The following is a PBE-GGA calculation of ZrBAu after structural relaxation, from the Alexandria database.

abc: 4.654 7.438 3.153
angles: 77.81 70.30 87.21
Element x y z (fractional)
Zr (0.945, 0.163, 0.261)
Zr (0.453, 0.533, 0.323)
B (0.909, 0.422, 0.650)
B (0.021, 0.488, 0.061)
Au (0.032, 0.795, 0.900)
Au (0.489, 0.983, 0.078)

## Properties
crystal system: triclinic
volume: 16.7 Å³/atom
symmetry: P1, No. 1
calculated total energy: -6.49 eV/atom
ΔH_f (0 K): -319 meV/atom



The following is a PBE-GGA calculation of ZrBAu after structural relaxation, from the Alexandria database.

abc: 3.476 5.807 5.056
angles: 89.26 89.97 72.56
Element x y z (fractional)
B (0.768, 0.324, 0.159)
Au (0.887, 0.087, 0.831)
Au (0.661, 0.539, 0.525)
B (0.041, 0.780, 0.525)
Zr (0.136, 0.590, 0.022)
Zr (0.398, 0.064, 0.363)

## Properties
crystal system: monoclinic
volume: 16.2 Å³/atom
symmetry: Cm, No. 8
calculated total energy: -6.38 eV/atom
ΔH_f (0 K): -213 meV/atom



The following is a PBE-GGA calculation of ZrBAu3 after structural relaxation, from the Alexandria database.

abc: 4.429 4.429 4.429
angles: 90.00 90.00 90.00
Site moments in Bohr magnetons follow the coordinates.
Element x y z (fractional)
Zr (0.500, 0.500, 0.500)  0.30
Au (0.000, 0.000, 0.500)  0.02
Au (0.500, 0.000, 0.000)  0.04
Au (0.000, 0.500, 0.000)  0.02
B (0.000, 0.000, 0.000)  -0.01

## Properties
crystal system: cubic
volume: 17.4 Å³/atom
offset from the most stable computed form: 0.000 eV/atom
symmetry: Pm-3m, No. 221
calculated total energy: -4.91 eV/atom
ΔH_f (0 K): 98 meV/atom



The following is a PBE-GGA calculation of ZrBAu after structural relaxation, from the Alexandria database.

abc: 3.185 8.402 4.349
angles: 74.72 111.89 79.30
Element x y z (fractional)
Zr (0.002, 0.597, 0.389)
Au (0.640, 0.013, 0.072)
B (0.876, 0.397, 0.937)
B (0.382, 0.322, 0.874)
Zr (0.720, 0.253, 0.487)
Au (0.545, 0.803, 0.666)

## Properties
crystal system: triclinic
volume: 16.5 Å³/atom
symmetry: P1, No. 1
calculated total energy: -6.46 eV/atom
ΔH_f (0 K): -297 meV/atom



Which value of ΔH_f (0 K) does entry 1 give?
-319 meV/atom